Tm4PHC2 after structural relaxation. Source: Alexandria via LeMat-Bulk, functional GGA-PBE. Values from VASP.

```
&SYSTEM
  ibrav = 0, nat = 16, ntyp = 4
/
ATOMIC_SPECIES
Tm 168.93 Tm.upf
P 30.97 P.upf
H 1.01 H.upf
C 12.01 C.upf
ATOMIC_POSITIONS angstrom
Tm 0.000 0.000 0.000
Tm 0.000 0.000 6.148
Tm 1.831 2.789 7.490
Tm 1.831 2.789 10.955
Tm 1.831 0.730 3.074
Tm 1.831 -0.730 9.223
Tm 1.831 -2.789 1.342
Tm 1.831 -2.789 4.807
P 1.831 4.587 3.074
P 1.831 -4.587 9.223
H 1.831 4.097 9.223
H 1.831 -4.097 3.074
C 1.831 1.586 0.744
C 1.831 1.586 5.405
C 1.831 -1.586 6.892
C 1.831 -1.586 11.553
CELL_PARAMETERS angstrom
1.831 -5.935 0.000
1.831 5.935 0.000
0.000 0.000 12.297
```

Results
V in Å³ per cell: 267.28
Calculated total energy in eV per atom: -6.414
Total magnetization in μB per cell: 0.00

***

Mn2ReTc after structural relaxation. Source: Alexandria via LeMat-Bulk, functional GGA-PBE. Values from VASP.

```
&SYSTEM
  ibrav = 0, nat = 4, ntyp = 3
/
ATOMIC_SPECIES
Mn 54.94 Mn.upf
Re 186.21 Re.upf
Tc 98.00 Tc.upf
ATOMIC_POSITIONS angstrom
Mn 0.000 0.000 0.000
Mn 1.575 0.000 2.084
Re 0.000 2.044 2.084
Tc 1.575 2.044 0.000
CELL_PARAMETERS angstrom
3.151 0.000 0.000
0.000 4.087 0.000
0.000 0.000 4.168
```

Results
V in Å³ per cell: 53.67
Calculated formation energy in meV/atom: 107
Calculated total energy in eV per atom: -10.181
Total magnetization in μB per cell: 3.80

***

AgHg2Ir after structural relaxation. Source: Alexandria via LeMat-Bulk, functional GGA-PBE. Values from VASP.

```
&SYSTEM
  ibrav = 0, nat = 4, ntyp = 3
/
ATOMIC_SPECIES
Ag 107.87 Ag.upf
Hg 200.59 Hg.upf
Ir 192.22 Ir.upf
ATOMIC_POSITIONS angstrom
Ag 0.000 0.000 0.000
Hg 1.515 1.940 1.567
Hg 1.515 -1.940 1.567
Ir 3.029 0.000 0.000
CELL_PARAMETERS angstrom
3.029 -3.881 0.000
3.029 3.881 0.000
0.000 0.000 3.134
```

Results
V in Å³ per cell: 73.68
Excess energy over the best structure of this formula in the dataset in meV per atom: 0
Calculated formation energy in meV/atom: 337
Calculated total energy in eV per atom: -2.742
Total magnetization in μB per cell: 0.00

***

YZrAg2 after structural relaxation. Source: Alexandria via LeMat-Bulk, functional GGA-PBE. Values from VASP.

```
&SYSTEM
  ibrav = 0, nat = 4, ntyp = 3
/
ATOMIC_SPECIES
Y 88.91 Y.upf
Zr 91.22 Zr.upf
Ag 107.87 Ag.upf
ATOMIC_POSITIONS angstrom
Y 0.000 0.000 0.000
Zr 3.549 3.549 3.549
Ag 1.775 1.775 1.775
Ag 5.324 5.324 5.324
CELL_PARAMETERS angstrom
0.000 3.549 3.549
3.549 0.000 3.549
3.549 3.549 0.000
```

Results
V in Å³ per cell: 89.43
Excess energy over the best structure of this formula in the dataset in meV per atom: 27
Calculated formation energy in meV/atom: -91
Calculated total energy in eV per atom: -5.270
Total magnetization in μB per cell: 1.12